Entry 1:
Compound: TbNd2DyHo6
Source: Alexandria
Functional: GGA-PBE
Structure: optimized geometry

calculated formation energy: 1.18 eV/f.u.
calculated total energy: -4.506 eV per atom

Unit cell a=8.755 b=8.755 c=9.686 alpha=94.65 beta=94.65 gamma=118.12
Fractional coordinates of all 20 atoms:
Tb (0.018, 0.982, 0.750)
Tb (0.982, 0.018, 0.250)
Nd (0.193, 0.296, 0.542)
Nd (0.296, 0.193, 0.042)
Nd (0.704, 0.807, 0.958)
Nd (0.807, 0.704, 0.458)
Dy (0.407, 0.593, 0.250)
Dy (0.593, 0.407, 0.750)
Ho (0.022, 0.576, 0.687)
Ho (0.125, 0.744, 0.057)
Ho (0.256, 0.875, 0.443)
Ho (0.293, 0.504, 0.881)
Ho (0.424, 0.978, 0.813)
Ho (0.496, 0.707, 0.619)
Ho (0.504, 0.293, 0.381)
Ho (0.576, 0.022, 0.187)
Ho (0.707, 0.496, 0.119)
Ho (0.744, 0.125, 0.557)
Ho (0.875, 0.256, 0.943)
Ho (0.978, 0.424, 0.313)



Entry 2:
Compound: TbNd2DyHo4
Source: Alexandria
Functional: GGA-PBE
Structure: optimized geometry

calculated formation energy: 3.40 eV/f.u.
calculated total energy: -4.209 eV per atom

Unit cell a=9.511 b=9.511 c=9.511 alpha=138.03 beta=103.26 gamma=91.55
Fractional coordinates of all 16 atoms:
Tb (0.000, 0.000, 0.000)
Tb (0.500, 0.000, 0.500)
Nd (0.000, 0.500, 0.500)
Nd (0.500, 0.000, 0.000)
Nd (0.500, 0.500, 0.000)
Nd (0.500, 0.500, 0.500)
Dy (0.000, 0.000, 0.500)
Dy (0.000, 0.500, 0.000)
Ho (0.246, 0.249, 0.997)
Ho (0.247, 0.246, 0.499)
Ho (0.247, 0.748, 0.001)
Ho (0.248, 0.751, 0.497)
Ho (0.752, 0.249, 0.503)
Ho (0.753, 0.252, 0.999)
Ho (0.753, 0.754, 0.501)
Ho (0.754, 0.751, 0.003)



Entry 3:
Compound: TbNd2DyHo5
Source: Alexandria
Functional: GGA-PBE
Structure: optimized geometry

calculated formation energy: 2.44 eV/f.u.
calculated total energy: -4.358 eV per atom

Unit cell a=9.922 b=9.922 c=9.922 alpha=128.55 beta=128.55 gamma=75.74
Fractional coordinates of all 18 atoms:
Tb (0.250, 0.250, 0.000)
Tb (0.750, 0.750, 0.000)
Nd (0.118, 0.618, 0.736)
Nd (0.382, 0.118, 0.500)
Nd (0.618, 0.882, 0.500)
Nd (0.882, 0.382, 0.264)
Dy (0.250, 0.750, 0.500)
Dy (0.750, 0.250, 0.500)
Ho (0.000, 0.000, 0.000)
Ho (0.072, 0.148, 0.500)
Ho (0.148, 0.648, 0.076)
Ho (0.352, 0.428, 0.500)
Ho (0.428, 0.928, 0.076)
Ho (0.500, 0.500, 0.000)
Ho (0.572, 0.072, 0.924)
Ho (0.648, 0.572, 0.500)
Ho (0.852, 0.352, 0.924)
Ho (0.928, 0.852, 0.500)



Entry 4:
Compound: Tb3Nd6DyHo2
Source: Alexandria
Functional: GGA-PBE
Structure: optimized geometry

calculated formation energy: 0.13 eV/f.u.
calculated total energy: -4.677 eV per atom

Unit cell a=6.276 b=6.276 c=11.873 alpha=95.04 beta=95.04 gamma=120.00
Fractional coordinates of all 12 atoms:
Tb (0.000, 0.000, 0.000)
Tb (0.333, 0.667, 0.000)
Tb (0.667, 0.333, 0.000)
Nd (0.083, 0.416, 0.251)
Nd (0.250, 0.250, 0.749)
Nd (0.416, 0.083, 0.251)
Nd (0.584, 0.917, 0.749)
Nd (0.750, 0.750, 0.251)
Nd (0.917, 0.584, 0.749)
Dy (0.500, 0.500, 0.500)
Ho (0.167, 0.833, 0.500)
Ho (0.833, 0.167, 0.500)



Entry 5:
Compound: Tb2NdDy4Ho
Source: Alexandria
Functional: GGA-PBE
Structure: optimized geometry

calculated formation energy: 3.45 eV/f.u.
calculated total energy: -4.195 eV per atom

Unit cell a=9.495 b=9.495 c=6.800 alpha=110.98 beta=110.98 gamma=88.58
Fractional coordinates of all 16 atoms:
Tb (0.000, 0.000, 0.000)
Tb (0.000, 0.000, 0.500)
Tb (0.000, 0.500, 0.000)
Tb (0.500, 0.000, 0.500)
Nd (0.000, 0.500, 0.500)
Nd (0.500, 0.000, 0.000)
Dy (0.250, 0.252, 0.002)
Dy (0.251, 0.749, 0.001)
Dy (0.251, 0.749, 0.499)
Dy (0.252, 0.250, 0.502)
Dy (0.748, 0.750, 0.498)
Dy (0.749, 0.251, 0.501)
Dy (0.749, 0.251, 0.999)
Dy (0.750, 0.748, 0.998)
Ho (0.500, 0.500, 0.000)
Ho (0.500, 0.500, 0.500)



Entry 6:
Compound: Nd3DyHo2Te6
Source: Alexandria
Functional: GGA-PBE
Structure: optimized geometry

formation energy from raw total energies: -31.0 kcal/mol of atoms
calculated total energy: -5.255 eV per atom

Unit cell a=9.935 b=9.935 c=8.948 alpha=104.44 beta=104.44 gamma=25.42
Fractional coordinates of all 12 atoms:
Nd (0.000, 0.000, 0.000)
Nd (0.334, 0.334, 0.667)
Nd (0.666, 0.666, 0.333)
Dy (0.000, 0.000, 0.500)
Ho (0.334, 0.334, 0.168)
Ho (0.666, 0.666, 0.832)
Te (0.164, 0.164, 0.591)
Te (0.170, 0.170, 0.075)
Te (0.497, 0.497, 0.257)
Te (0.503, 0.503, 0.743)
Te (0.830, 0.830, 0.925)
Te (0.836, 0.836, 0.409)



Entry 7:
Compound: NdDy2Ho3Te6
Source: Alexandria
Functional: GGA-PBE
Structure: optimized geometry

formation energy from raw total energies: -29.7 kcal/mol of atoms
calculated total energy: -5.166 eV per atom

Unit cell a=9.776 b=9.776 c=8.798 alpha=103.11 beta=103.11 gamma=25.64
Fractional coordinates of all 12 atoms:
Nd (0.000, 0.000, 0.000)
Dy (0.336, 0.336, 0.671)
Dy (0.664, 0.664, 0.329)
Ho (0.000, 0.000, 0.500)
Ho (0.338, 0.338, 0.167)
Ho (0.662, 0.662, 0.833)
Te (0.168, 0.168, 0.584)
Te (0.172, 0.172, 0.084)
Te (0.499, 0.499, 0.740)
Te (0.501, 0.501, 0.260)
Te (0.828, 0.828, 0.916)
Te (0.832, 0.832, 0.416)



Entry 8:
Compound: Nd2DyHo3Te6
Source: Alexandria
Functional: GGA-PBE
Structure: optimized geometry

formation energy from raw total energies: -30.3 kcal/mol of atoms
calculated total energy: -5.206 eV per atom

Unit cell a=9.857 b=9.857 c=8.861 alpha=103.67 beta=103.67 gamma=25.53
Fractional coordinates of all 12 atoms:
Nd (0.170, 0.170, 0.337)
Nd (0.830, 0.830, 0.663)
Dy (0.500, 0.500, 0.000)
Ho (0.172, 0.172, 0.835)
Ho (0.500, 0.500, 0.500)
Ho (0.828, 0.828, 0.165)
Te (0.004, 0.004, 0.751)
Te (0.335, 0.335, 0.926)
Te (0.338, 0.338, 0.409)
Te (0.662, 0.662, 0.591)
Te (0.665, 0.665, 0.074)
Te (0.996, 0.996, 0.249)



Entry 9:
Compound: Nd4Dy3HoTe8
Source: Alexandria
Functional: GGA-PBE
Structure: optimized geometry

formation energy from raw total energies: -31.1 kcal/mol of atoms
calculated total energy: -5.260 eV per atom

Unit cell a=8.947 b=8.947 c=8.947 alpha=58.58 beta=58.58 gamma=58.58
Fractional coordinates of all 16 atoms:
Nd (0.000, 0.000, 0.000)
Nd (0.000, 0.500, 0.500)
Nd (0.500, 0.000, 0.500)
Nd (0.500, 0.500, 0.000)
Dy (0.000, 0.000, 0.500)
Dy (0.000, 0.500, 0.000)
Dy (0.500, 0.000, 0.000)
Ho (0.500, 0.500, 0.500)
Te (0.246, 0.246, 0.246)
Te (0.246, 0.745, 0.745)
Te (0.255, 0.255, 0.754)
Te (0.255, 0.754, 0.255)
Te (0.745, 0.246, 0.745)
Te (0.745, 0.745, 0.246)
Te (0.754, 0.255, 0.255)
Te (0.754, 0.754, 0.754)



Entry 10:
Compound: Nd2DyHoTe5
Source: Alexandria
Functional: GGA-PBE
Structure: optimized geometry

formation energy from raw total energies: -18.5 kcal/mol of atoms
calculated total energy: -4.627 eV per atom

Unit cell a=5.524 b=5.524 c=11.560 alpha=90.00 beta=90.00 gamma=90.00
Fractional coordinates of all 9 atoms:
Nd (0.000, 0.000, 0.163)
Nd (0.000, 0.000, 0.837)
Dy (0.500, 0.500, 0.500)
Ho (0.500, 0.500, 0.000)
Te (0.000, 0.000, 0.500)
Te (0.000, 0.500, 0.000)
Te (0.500, 0.000, 0.000)
Te (0.500, 0.500, 0.254)
Te (0.500, 0.500, 0.746)



Entry 11:
Compound: Nd6Dy2HoTh
Source: Alexandria
Functional: GGA-PBE
Structure: optimized geometry

calculated formation energy: 1.44 eV/f.u.
calculated total energy: -4.837 eV per atom

Unit cell a=8.873 b=8.873 c=9.776 alpha=94.24 beta=94.24 gamma=116.37
Fractional coordinates of all 20 atoms:
Nd (0.010, 0.574, 0.188)
Nd (0.110, 0.758, 0.557)
Nd (0.242, 0.890, 0.943)
Nd (0.298, 0.512, 0.381)
Nd (0.426, 0.990, 0.312)
Nd (0.488, 0.702, 0.119)
Nd (0.512, 0.298, 0.881)
Nd (0.574, 0.010, 0.688)
Nd (0.702, 0.488, 0.619)
Nd (0.758, 0.110, 0.057)
Nd (0.890, 0.242, 0.443)
Nd (0.990, 0.426, 0.812)
Dy (0.200, 0.290, 0.050)
Dy (0.290, 0.200, 0.550)
Dy (0.710, 0.800, 0.450)
Dy (0.800, 0.710, 0.950)
Ho (0.408, 0.592, 0.750)
Ho (0.592, 0.408, 0.250)
Th (0.028, 0.972, 0.250)
Th (0.972, 0.028, 0.750)



Entry 12:
Compound: NdDyHoTh2
Source: Alexandria
Functional: GGA-PBE
Structure: optimized geometry

calculated formation energy: 2.11 eV/f.u.
calculated total energy: -5.335 eV per atom

Unit cell a=8.564 b=8.564 c=6.678 alpha=90.00 beta=90.00 gamma=134.10
Fractional coordinates of all 10 atoms:
Nd (0.152, 0.848, 0.750)
Nd (0.848, 0.152, 0.250)
Dy (0.348, 0.652, 0.750)
Dy (0.652, 0.348, 0.250)
Ho (0.281, 0.719, 0.250)
Ho (0.719, 0.281, 0.750)
Th (0.256, 0.256, 0.000)
Th (0.256, 0.256, 0.500)
Th (0.744, 0.744, 0.000)
Th (0.744, 0.744, 0.500)